Here is a relaxed structure of RbNaHf2 from the Alexandria database. Energies are from PBE-GGA.

```
data_RbNaHf2
_space_group_name_H-M_alt 'I -4 2 d'
_space_group_IT_number 122
_space_group_name_Hall 'I -4 2bw'
_cell_length_a 9.332
_cell_length_b 9.332
_cell_length_c 5.735
_cell_angle_alpha 90.00
_cell_angle_beta 90.00
_cell_angle_gamma 90.00
loop_
_atom_site_label
_atom_site_fract_x
_atom_site_fract_y
_atom_site_fract_z
Rb1 0.000 0.000 0.000
Na1 0.000 0.000 0.500
Hf1 0.239 0.250 0.625
```

Values from the calculation:
Magnetization = 0.0 μB per cell
Calculated density = 6190 kg/m3
Energy of formation = 1.51 eV/atom
Crystal system = tetragonal
Uncorrected energy = -64.674 eV per cell
Fermi-level density of states = 16.9 states/eV/cell

=====

Here is a relaxed structure of LaY2Re from the Alexandria database. Energies are from PBE-GGA.

```
data_LaY2Re
_space_group_name_H-M_alt 'P m m m'
_space_group_IT_number 47
_cell_length_a 4.557
_cell_length_b 4.568
_cell_length_c 4.933
_cell_angle_alpha 90.00
_cell_angle_beta 90.00
_cell_angle_gamma 90.00
loop_
_space_group_symop_operation_xyz
'x,y,z'
'-x,-y,-z'
'-x,-y,z'
'x,y,-z'
'x,-y,-z'
'-x,y,z'
'-x,y,-z'
'x,-y,z'
loop_
_atom_site_label
_atom_site_fract_x
_atom_site_fract_y
_atom_site_fract_z
La1 0.000 0.000 0.000
Y1 0.000 0.500 0.500
Y2 0.500 0.000 0.500
Re1 0.500 0.500 0.000
```

Values from the calculation:
Magnetization = 0.0 μB per cell
Calculated density = 8132 kg/m3
Energy of formation = 0.42 eV/atom
Crystal system = orthorhombic
Uncorrected energy = -28.643 eV per cell
Fermi-level density of states = 4.6 states/eV/cell

=====

Here is a relaxed structure of MoAsSe2N from the Alexandria database. Energies are from PBE-GGA.

```
data_MoAsSe2N
_space_group_name_H-M_alt 'P 4/m m m'
_space_group_IT_number 123
_space_group_name_Hall '-P 4 2'
_cell_length_a 4.381
_cell_length_b 4.381
_cell_length_c 4.241
_cell_angle_alpha 90.00
_cell_angle_beta 90.00
_cell_angle_gamma 90.00
loop_
_atom_site_label
_atom_site_fract_x
_atom_site_fract_y
_atom_site_fract_z
Mo1 0.000 0.000 0.000
As1 0.500 0.500 0.000
Se1 0.000 0.500 0.500
N1 0.500 0.500 0.500
```

Values from the calculation:
Magnetization = 2.0 μB per cell
Formation energy without anion corrections = 0.98 eV/atom
Calculated density = 6993 kg/m3
Crystal system = tetragonal
Uncorrected energy = -25.879 eV per cell
Fermi-level density of states = 1.8 states/eV/cell

=====

Here is a relaxed structure of AcZnH5 from the Alexandria database. Energies are from PBE-GGA.

```
data_AcZnH5
_space_group_name_H-M_alt 'I m m 2'
_space_group_IT_number 44
_cell_length_a 5.197
_cell_length_b 8.059
_cell_length_c 4.569
_cell_angle_alpha 90.00
_cell_angle_beta 90.00
_cell_angle_gamma 90.00
loop_
_space_group_symop_operation_xyz
'x,y,z'
'-x,-y,z'
'-x,y,z'
'x,-y,z'
'x+1/2,y+1/2,z+1/2'
'-x+1/2,-y+1/2,z+1/2'
'-x+1/2,y+1/2,z+1/2'
'x+1/2,-y+1/2,z+1/2'
loop_
_atom_site_label
_atom_site_fract_x
_atom_site_fract_y
_atom_site_fract_z
Ac1 0.000 0.000 0.000
Zn1 0.000 0.500 0.111
H1 0.000 0.268 0.192
H2 0.000 0.500 0.496
H3 0.203 0.000 0.493
```

Values from the calculation:
Magnetization = 0.0 μB per cell
Calculated density = 5162 kg/m3
Crystal system = orthorhombic
Uncorrected energy = -45.768 eV per cell
Fermi-level density of states = 0.0 states/eV/cell

=====

Here is a relaxed structure of NbPO2 from the Alexandria database. Energies are from PBE-GGA.

```
data_NbPO2
_space_group_name_H-M_alt 'R -3 m'
_space_group_IT_number 166
_space_group_name_Hall '-R 3 2"'
_cell_length_a 2.8733
_cell_length_b 2.8733
_cell_length_c 19.8831
_cell_angle_alpha 90.00
_cell_angle_beta 90.00
_cell_angle_gamma 120.00
loop_
_atom_site_label
_atom_site_fract_x
_atom_site_fract_y
_atom_site_fract_z
Nb1 0.0000 0.0000 0.0000
P1 0.0000 0.0000 0.5000
O1 0.0000 0.0000 0.4050
```

Values from the calculation:
Magnetization = 0.7 μB per cell
Formation energy without anion corrections = -1.32 eV/atom
Calculated density = 5463 kg/m3
Crystal system = trigonal
Uncorrected energy = -92.085 eV per cell
Fermi-level density of states = 6.4 states/eV/cell

=====

Here is a relaxed structure of Pm4Bi2H from the Alexandria database. Energies are from PBE-GGA.

```
data_Pm4Bi2H
_space_group_name_H-M_alt 'I 4/m m m'
_space_group_IT_number 139
_space_group_name_Hall '-I 4 2'
_cell_length_a 4.631
_cell_length_b 4.631
_cell_length_c 17.897
_cell_angle_alpha 90.00
_cell_angle_beta 90.00
_cell_angle_gamma 90.00
loop_
_atom_site_label
_atom_site_fract_x
_atom_site_fract_y
_atom_site_fract_z
Pm1 0.000 0.000 0.179
Pm2 0.000 0.500 0.000
Bi1 0.000 0.000 0.362
H1 0.000 0.000 0.000
```

Values from the calculation:
Magnetization = 0.5 μB per cell
Calculated density = 8645 kg/m3
Crystal system = tetragonal
Uncorrected energy = -69.696 eV per cell
Fermi-level density of states = 15.2 states/eV/cell

=====

Here is a relaxed structure of V2FeCl from the Alexandria database. Energies are from PBE-GGA.

```
data_V2FeCl
_space_group_name_H-M_alt 'F m -3 m'
_space_group_IT_number 225
_space_group_name_Hall '-F 4 2 3'
_cell_length_a 5.958
_cell_length_b 5.958
_cell_length_c 5.958
_cell_angle_alpha 90.00
_cell_angle_beta 90.00
_cell_angle_gamma 90.00
loop_
_atom_site_label
_atom_site_fract_x
_atom_site_fract_y
_atom_site_fract_z
V1 0.250 0.250 0.250
Fe1 0.000 0.000 0.000
Cl1 0.000 0.000 0.500
```

Values from the calculation:
Magnetization = 0.8 μB per cell
Formation energy without anion corrections = 0.54 eV/atom
Calculated density = 6068 kg/m3
Crystal system = cubic
Uncorrected energy = -105.608 eV per cell
Fermi-level density of states = 15.6 states/eV/cell